A plane-wave DFT calculation with GGA-PBE was carried out for an optimized crystal structure of HoSc2Hg4.

Values from the calculation:
The volume comes out at 25.25 Å³ per atom. Its energy of formation from the pure elements is -347 meV/atom. The crystal system is tetragonal.

Cell lengths 6.1256, 6.1256, 6.1256 Å; angles 108.49, 108.49, 111.45 degrees
Sites, in units of the cell vectors:
Ho (0.0000, 0.0000, 0.0000)
Sc (0.0000, 0.5000, 0.5000)
Sc (0.5000, 0.0000, 0.5000)
Hg (0.0000, 0.0000, 0.5000)
Hg (0.0000, 0.5000, 0.0000)
Hg (0.5000, 0.0000, 0.0000)
Hg (0.5000, 0.5000, 0.5000)